Below is a relaxed TaTe2Pb crystal, with properties calculated at the GGA-PBE level.

extended XYZ file:
```
4
Lattice="4.892 -1.804 0.000 4.892 1.804 0.000 -2.653 0.000 6.532" Properties=species:S:1:pos:R:3 pbc="T T T"
Ta 0.000 0.000 0.000
Te 4.467 0.000 2.092
Te 4.321 0.000 6.207
Pb 1.898 0.000 3.949
```

Summary:
Spin magnetization: 0.00 μB/cell
E_form (uncorrected): -0.03 eV per atom